A relaxed MgZnGaIr crystal, computed with PBE. Values from VASP.

```
&SYSTEM
  ibrav = 0, nat = 4, ntyp = 4
/
ATOMIC_SPECIES
Mg 24.30 Mg.upf
Zn 65.41 Zn.upf
Ga 69.72 Ga.upf
Ir 192.22 Ir.upf
ATOMIC_POSITIONS angstrom
Mg 0.000 0.000 0.000
Zn 0.000 0.000 5.631
Ga 0.000 0.000 10.925
Ir 0.000 0.000 2.780
CELL_PARAMETERS angstrom
2.097 1.211 4.478
-2.097 1.211 4.478
0.000 -2.421 4.478
```

Output
Space group: R3m (160)
Density: 8.6 g/cm3
Energy: -3.84 eV per atom
Energy of formation from the pure elements: -0.15 eV/atom
D(E_F): 1.3 states/eV per cell
Calculated volume: 17.1 Å³ per atom
M_tot: 0.000 μB per atom